Compound: InPtSe
Source: Alexandria
Functional: PBEsol
Structure: relaxed

Summary:
- DFT total energy: -27.62 eV/cell
- Energy relative to the elements, uncorrected: 0.00 eV per atom

Lattice parameters (Å, degrees): 3.699 3.699 8.272 90.00 90.00 90.00
Space group I4mm (No. 107)
Unique sites:
In: 0.000 0.000 0.000 x2
Pt: 0.000 0.000 0.343 x2
Se: 0.000 0.000 0.666 x2